Crystalline KBa2Co2O6 at its relaxed geometry. Source: Alexandria via LeMat-Bulk, functional PBE with a Hubbard U.

Geometry as CIF:
```
data_KBa2Co2O6
_chemical_formula_sum 'K3 Ba6 Co6 O18'
_space_group_name_H-M_alt 'R -3 m'
_space_group_IT_number 166
_space_group_name_Hall '-R 3 2"'
_cell_length_a 5.9966
_cell_length_b 5.9966
_cell_length_c 20.6851
_cell_angle_alpha 90.00
_cell_angle_beta 90.00
_cell_angle_gamma 120.00
loop_
_atom_site_label
_atom_site_type_symbol
_atom_site_fract_x
_atom_site_fract_y
_atom_site_fract_z
_atom_site_occupancy
K1 K 0.0000 0.0000 0.0000 1
Ba1 Ba 0.0000 0.0000 0.2034 1
Co1 Co 0.0000 0.0000 0.4284 1
O1 O 0.0005 0.5002 0.2330 1
```

Computed properties:
The final energy comes out at -5.65 eV per atom. Its density of states at the Fermi level is 19.319 states/eV/cell.